(1)
An optimized crystal structure of CaPt4Se8, computed with PBE.

a b c (Å): 7.6210 7.6210 8.0600
angles (deg): 61.79 61.79 60.00
Fractional positions:
Ca 0.5000 0.5000 0.5000
Pt 0.0000 0.5000 0.0000
Pt 0.5000 0.5000 0.0000
Pt 0.5000 0.0000 0.0000
Pt 0.0000 0.0000 0.0000
Se 0.7242 0.2342 0.8073
Se 0.7658 0.2758 0.1927
Se 0.2758 0.7658 0.1927
Se 0.7658 0.7658 0.1927
Se 0.7314 0.7314 0.8057
Se 0.2686 0.2686 0.1943
Se 0.2342 0.2342 0.8073
Se 0.2342 0.7242 0.8073

Summary:
formation energy (no corrections): -11.67 kcal/mol of atoms


(2)
An optimized crystal structure of CuAgB3, computed with PBE.

a b c (Å): 3.9237 3.9237 3.9237
angles (deg): 90.00 90.00 90.00
Fractional positions:
B 0.0000 0.5000 0.0000
B 0.0000 0.0000 0.5000
B 0.5000 0.0000 0.0000
Cu 0.0000 0.0000 0.0000
Ag 0.5000 0.5000 0.5000

Summary:
energy relative to the elements: 154.14 kJ per mole of atoms


(3)
An optimized crystal structure of Zr2InC, computed with PBE.

a b c (Å): 6.8367 6.8367 5.8967
angles (deg): 54.57 54.57 90.00
Fractional positions:
C 0.5000 0.5000 0.0000
C 0.2500 0.7500 0.5000
Zr 0.5402 0.1250 0.2500
Zr 0.2098 0.6250 0.2500
Zr 0.3750 0.4598 0.7500
Zr 0.8750 0.7902 0.7500
In 0.0000 0.0000 0.0000
In 0.7500 0.2500 0.5000

Summary:
energy relative to the elements: -4.26 kJ per mole of atoms


(4)
An optimized crystal structure of IrAuNF, computed with PBE.

a b c (Å): 3.6682 2.7542 6.8331
angles (deg): 90.00 91.72 90.00
Fractional positions:
Ir 0.2528 0.0000 0.6798
Au 0.2460 0.0000 0.3048
N 0.7534 0.0000 0.6776
F 0.2808 0.0000 0.9927

Summary:
formation energy (no corrections): 2.02 kcal/mol of atoms


(5)
An optimized crystal structure of PaBe5Cu7, computed with PBE.

a b c (Å): 4.5210 6.2261 6.2261
angles (deg): 82.55 68.71 68.71
Fractional positions:
Pa 0.9966 0.0034 0.0034
Be 0.5015 0.9925 0.5031
Be 0.0028 0.9925 0.5031
Be 0.5015 0.5031 0.9925
Be 0.0028 0.5031 0.9925
Be 0.7342 0.7658 0.7658
Cu 0.6445 0.3555 0.3555
Cu 0.3410 0.6590 0.6590
Cu 0.9952 0.3560 0.6537
Cu 0.9952 0.6537 0.3560
Cu 0.2721 0.2279 0.2279
Cu 0.5063 0.7774 0.2100
Cu 0.5063 0.2100 0.7774

Summary:
energy relative to the elements: -5.66 kJ per mole of atoms


(6)
An optimized crystal structure of CdMo2AsW, computed with PBE.

a b c (Å): 4.9110 4.7786 4.9110
angles (deg): 90.00 90.00 90.00
Fractional positions:
Mo 0.0000 0.0000 0.5000
Mo 0.5000 0.0000 0.0000
As 0.0000 0.5000 0.0000
W 0.0000 0.0000 0.0000
Cd 0.5000 0.5000 0.5000

Summary:
energy relative to the elements: 137.74 kJ per mole of atoms


(7)
An optimized crystal structure of Pu2ZnGa4Cu3, computed with PBE.

a b c (Å): 4.1855 4.1855 10.2281
angles (deg): 90.00 90.00 90.00
Fractional positions:
Pu 0.5000 0.0000 0.2494
Pu 0.0000 0.5000 0.7506
Zn 0.5000 0.5000 0.5000
Ga 0.5000 0.5000 0.0000
Ga 0.0000 0.0000 0.0000
Ga 0.5000 0.0000 0.6384
Ga 0.0000 0.5000 0.3616
Cu 0.0000 0.0000 0.5000
Cu 0.5000 0.0000 0.8713
Cu 0.0000 0.5000 0.1287

Summary:
energy relative to the elements: -22.96 kJ per mole of atoms


(8)
An optimized crystal structure of Th4CoS3, computed with PBE.

a b c (Å): 6.9343 7.0744 8.1753
angles (deg): 90.00 90.00 108.33
Fractional positions:
S 0.7500 0.0000 0.3734
S 0.2500 0.0000 0.6266
S 0.7500 0.5000 0.6260
S 0.7500 0.5000 0.1293
S 0.2500 0.5000 0.3740
S 0.2500 0.5000 0.8707
Co 0.7500 0.0000 0.8725
Co 0.2500 0.0000 0.1275
Th 0.9940 0.2451 0.6267
Th 0.5106 0.2295 0.8816
Th 0.4940 0.2451 0.3733
Th 0.0106 0.2295 0.1184
Th 0.9894 0.7705 0.8816
Th 0.5060 0.7549 0.6267
Th 0.4894 0.7705 0.1184
Th 0.0060 0.7549 0.3733

Summary:
formation energy (no corrections): -33.06 kcal/mol of atoms


Record order is preserved below.
Density: 7.10 5.60 6.51 10.16 7.87 8.11 9.48 9.45 Mg/m³
Record order is preserved below.
Volume: 339.66 60.41 157.82 69.00 152.15 115.25 179.18 380.69 Å³ per cell
Record order is preserved below.
Electronic total energy: -4.663 -3.798 -7.309 -5.496 -4.428 -6.608 -5.671 -7.580 eV per atom